! Sr6Cd2N PBE relaxed; values from VASP
&SYSTEM
  ibrav = 0, nat = 9, ntyp = 3
/
ATOMIC_SPECIES
Sr 87.62 Sr.upf
Cd 112.41 Cd.upf
N 14.01 N.upf
CELL_PARAMETERS angstrom
-2.157 2.049 -3.326
-5.149 -4.904 -2.675
-10.983 2.254 5.519
ATOMIC_POSITIONS crystal
Sr 0.828 0.251 0.093
Sr 0.172 0.749 0.907
Sr 0.351 0.735 0.563
Sr 0.025 0.759 0.191
Sr 0.975 0.241 0.809
Sr 0.649 0.265 0.437
Cd 0.325 0.045 0.306
Cd 0.675 0.955 0.694
N 0.000 0.000 0.000
! * total moment: 0.00 μB/f.u.
! * total DFT energy (no corrections): -2.36 eV/atom
! * formation energy from raw total energies: -0.1148 eV per atom
! * space group: C2/m
! * crystal system: monoclinic
! * relative energy among the computed polymorphs: 185 meV per atom